VASP calculation (PBE) on LiCrAgSn after structural relaxation.

Structure (CIF):
```
data_LiCrAgSn
_chemical_formula_sum 'Li4 Cr4 Ag4 Sn4'
_symmetry_space_group_name_H-M 'F -4 3 m'
_symmetry_Int_Tables_number 216
_symmetry_space_group_name_Hall 'F -4 2 3'
_cell_length_a 6.5424
_cell_length_b 6.5424
_cell_length_c 6.5424
_cell_angle_alpha 90.00
_cell_angle_beta 90.00
_cell_angle_gamma 90.00
loop_
_atom_site_label
_atom_site_fract_x
_atom_site_fract_y
_atom_site_fract_z
Li1 0.0000 0.0000 0.0000
Cr1 0.0000 0.0000 0.5000
Ag1 0.2500 0.2500 0.7500
Sn1 0.2500 0.2500 0.2500
```

Results
Formation enthalpy at 0 K in eV/atom: -0.01
Calculated total energy in Ry/atom: -0.339

=====

VASP calculation (PBE) on Pr4Sm2Th after structural relaxation.

Structure (CIF):
```
data_Pr4Sm2Th
_chemical_formula_sum 'Pr12 Sm6 Th3'
_symmetry_space_group_name_H-M 'R -3 m'
_symmetry_Int_Tables_number 166
_symmetry_space_group_name_Hall '-R 3 2"'
_cell_length_a 3.6338
_cell_length_b 3.6338
_cell_length_c 65.2644
_cell_angle_alpha 90.00
_cell_angle_beta 90.00
_cell_angle_gamma 120.00
loop_
_atom_site_label
_atom_site_fract_x
_atom_site_fract_y
_atom_site_fract_z
Pr1 0.0000 0.0000 0.1418
Pr2 0.0000 0.0000 0.2894
Sm1 0.0000 0.0000 0.2360
Th1 0.0000 0.0000 0.0000
```

Results
Offset from the most stable computed form in eV per atom: 0.0000
Formation enthalpy at 0 K in eV/atom: 0.08
Calculated total energy in Ry/atom: -0.372

=====

VASP calculation (PBE) on NbFe after structural relaxation.

Structure (CIF):
```
data_NbFe
_chemical_formula_sum 'Nb8 Fe8'
_symmetry_space_group_name_H-M 'I 4/m m m'
_symmetry_Int_Tables_number 139
_symmetry_space_group_name_Hall '-I 4 2'
_cell_length_a 7.7066
_cell_length_b 7.7066
_cell_length_c 4.0374
_cell_angle_alpha 90.00
_cell_angle_beta 90.00
_cell_angle_gamma 90.00
loop_
_atom_site_label
_atom_site_fract_x
_atom_site_fract_y
_atom_site_fract_z
Nb1 0.0000 0.2951 0.0000
Fe1 0.1574 0.1574 0.5000
```

Results
Formation enthalpy at 0 K in eV/atom: 0.17
Calculated total energy in Ry/atom: -0.668

=====

VASP calculation (PBE) on BN after structural relaxation.

Structure (CIF):
```
data_BN
_chemical_formula_sum 'B8 N8'
_symmetry_space_group_name_H-M 'C 1 m 1'
_symmetry_Int_Tables_number 8
_symmetry_space_group_name_Hall 'C -2y'
_cell_length_a 13.1059
_cell_length_b 2.5124
_cell_length_c 4.3970
_cell_angle_alpha 90.00
_cell_angle_beta 90.55
_cell_angle_gamma 90.00
loop_
_atom_site_label
_atom_site_fract_x
_atom_site_fract_y
_atom_site_fract_z
B1 0.0000 0.0000 0.0000
B2 0.0314 0.5000 0.4995
B3 0.1658 0.5000 0.1178
B4 0.3315 0.0000 0.0705
N1 0.0254 0.0000 0.6552
N2 0.0508 0.5000 0.1553
N3 0.2192 0.0000 0.1053
N4 0.3846 0.5000 0.0544
```

Results
Offset from the most stable computed form in eV per atom: 0.1381
Calculated total energy in Ry/atom: -0.636
ΔE_f (raw) in eV/atom: -1.148

=====

VASP calculation (PBE) on SrH4Rh after structural relaxation.

Structure (CIF):
```
data_SrH4Rh
_chemical_formula_sum 'Sr1 H4 Rh1'
_symmetry_space_group_name_H-M 'P -1'
_symmetry_Int_Tables_number 2
_symmetry_space_group_name_Hall '-P 1'
_cell_length_a 3.1544
_cell_length_b 4.2570
_cell_length_c 4.6869
_cell_angle_alpha 86.22
_cell_angle_beta 89.80
_cell_angle_gamma 89.84
loop_
_atom_site_label
_atom_site_fract_x
_atom_site_fract_y
_atom_site_fract_z
Sr1 0.0000 0.0000 0.0000
H1 0.0012 0.4456 0.3045
H2 0.4982 0.8616 0.3523
Rh1 0.5000 0.5000 0.5000
```

Results
Calculated total energy in Ry/atom: -0.293

=====

VASP calculation (PBE) on YSiNi after structural relaxation.

Structure (CIF):
```
data_YSiNi
_chemical_formula_sum 'Y2 Si2 Ni2'
_symmetry_space_group_name_H-M 'I m m 2'
_symmetry_Int_Tables_number 44
_symmetry_space_group_name_Hall 'I 2 -2'
_cell_length_a 3.4419
_cell_length_b 4.1472
_cell_length_c 7.9597
_cell_angle_alpha 90.00
_cell_angle_beta 90.00
_cell_angle_gamma 90.00
loop_
_atom_site_label
_atom_site_fract_x
_atom_site_fract_y
_atom_site_fract_z
Y1 0.0000 0.0000 0.0000
Si1 0.0000 0.0000 0.3472
Ni1 0.0000 0.0000 0.6399
```

Results
Calculated total energy in Ry/atom: -0.445
ΔE_f (raw) in eV/atom: -0.170

=====

VASP calculation (PBE) on LaNdTmTl after structural relaxation.

Structure (CIF):
```
data_LaNdTmTl
_chemical_formula_sum 'La4 Nd4 Tm4 Tl4'
_symmetry_space_group_name_H-M 'F -4 3 m'
_symmetry_Int_Tables_number 216
_symmetry_space_group_name_Hall 'F -4 2 3'
_cell_length_a 7.8341
_cell_length_b 7.8341
_cell_length_c 7.8341
_cell_angle_alpha 90.00
_cell_angle_beta 90.00
_cell_angle_gamma 90.00
loop_
_atom_site_label
_atom_site_fract_x
_atom_site_fract_y
_atom_site_fract_z
La1 0.0000 0.0000 0.0000
Nd1 0.2500 0.2500 0.2500
Tm1 0.2500 0.2500 0.7500
Tl1 0.0000 0.0000 0.5000
```

Results
Offset from the most stable computed form in eV per atom: 0.0771
Formation enthalpy at 0 K in eV/atom: -0.01
Calculated total energy in Ry/atom: -0.305

=====

VASP calculation (PBE) on Ac6LaO12 after structural relaxation.

Structure (CIF):
```
data_Ac6LaO12
_chemical_formula_sum 'Ac18 La3 O36'
_symmetry_space_group_name_H-M 'R -3'
_symmetry_Int_Tables_number 148
_symmetry_space_group_name_Hall '-R 3'
_cell_length_a 11.0606
_cell_length_b 11.0606
_cell_length_c 10.2957
_cell_angle_alpha 90.00
_cell_angle_beta 90.00
_cell_angle_gamma 120.00
loop_
_atom_site_label
_atom_site_fract_x
_atom_site_fract_y
_atom_site_fract_z
Ac1 0.0507 0.7924 0.1545
La1 0.0000 0.0000 0.5000
O1 0.0389 0.8139 0.9017
O2 0.0435 0.8296 0.3969
```

Results
Calculated total energy in Ry/atom: -0.567
ΔE_f (raw) in eV/atom: -3.031

=====

VASP calculation (PBE) on Mg3InAu3 after structural relaxation.

Structure (CIF):
```
data_Mg3InAu3
_chemical_formula_sum 'Mg12 In4 Au12'
_symmetry_space_group_name_H-M 'P 21 3'
_symmetry_Int_Tables_number 198
_symmetry_space_group_name_Hall 'P 2ac 2ab 3'
_cell_length_a 8.2291
_cell_length_b 8.2291
_cell_length_c 8.2291
_cell_angle_alpha 90.00
_cell_angle_beta 90.00
_cell_angle_gamma 90.00
loop_
_atom_site_label
_atom_site_fract_x
_atom_site_fract_y
_atom_site_fract_z
Mg1 0.1175 0.3825 0.6175
Mg2 0.1604 0.8396 0.3396
Mg3 0.2024 0.2024 0.2024
In1 0.0566 0.5566 0.9434
Au1 0.0111 0.2018 0.8989
```

Results
Offset from the most stable computed form in eV per atom: 0.0000
Formation enthalpy at 0 K in eV/atom: -0.44
Calculated total energy in Ry/atom: -0.215

=====

VASP calculation (PBE) on LiTiGe2 after structural relaxation.

Structure (CIF):
```
data_LiTiGe2
_chemical_formula_sum 'Li1 Ti1 Ge2'
_symmetry_space_group_name_H-M 'P 4/m m m'
_symmetry_Int_Tables_number 123
_symmetry_space_group_name_Hall '-P 4 2'
_cell_length_a 4.0672
_cell_length_b 4.0672
_cell_length_c 3.7434
_cell_angle_alpha 90.00
_cell_angle_beta 90.00
_cell_angle_gamma 90.00
loop_
_atom_site_label
_atom_site_fract_x
_atom_site_fract_y
_atom_site_fract_z
Li1 0.0000 0.0000 0.0000
Ti1 0.5000 0.5000 0.0000
Ge1 0.0000 0.5000 0.5000
```

Results
Offset from the most stable computed form in eV per atom: 0.0000
Formation enthalpy at 0 K in eV/atom: -0.33
Calculated total energy in Ry/atom: -0.374

=====

VASP calculation (PBE) on LiTcPt after structural relaxation.

Structure (CIF):
```
data_LiTcPt
_chemical_formula_sum 'Li2 Tc2 Pt2'
_symmetry_space_group_name_H-M 'P 63/m m c'
_symmetry_Int_Tables_number 194
_symmetry_space_group_name_Hall '-P 6c 2c'
_cell_length_a 4.6730
_cell_length_b 4.6730
_cell_length_c 9.4285
_cell_angle_alpha 90.00
_cell_angle_beta 90.00
_cell_angle_gamma 120.00
loop_
_atom_site_label
_atom_site_fract_x
_atom_site_fract_y
_atom_site_fract_z
Li1 0.3333 0.6667 0.2500
Tc1 0.0000 0.0000 0.2500
Pt1 0.0000 0.0000 0.0000
```

Results
Offset from the most stable computed form in eV per atom: 2.0280
Formation enthalpy at 0 K in eV/atom: 1.79
Calculated total energy in Ry/atom: -0.317

=====

VASP calculation (PBE) on Rb2BiRhF6 after structural relaxation.

Structure (CIF):
```
data_Rb2BiRhF6
_chemical_formula_sum 'Rb8 Bi4 Rh4 F24'
_symmetry_space_group_name_H-M 'F m -3 m'
_symmetry_Int_Tables_number 225
_symmetry_space_group_name_Hall '-F 4 2 3'
_cell_length_a 9.2767
_cell_length_b 9.2767
_cell_length_c 9.2767
_cell_angle_alpha 90.00
_cell_angle_beta 90.00
_cell_angle_gamma 90.00
loop_
_atom_site_label
_atom_site_fract_x
_atom_site_fract_y
_atom_site_fract_z
Rb1 0.2500 0.2500 0.2500
Bi1 0.0000 0.0000 0.0000
Rh1 0.0000 0.0000 0.5000
F1 0.0000 0.0000 0.2447
```

Results
Calculated total energy in Ry/atom: -0.332
ΔE_f (raw) in eV/atom: -2.076